Record 1
{"formula": "Mg2TaIr", "functional": "PBE-GGA", "state": "optimized geometry", "cell": [[-5.989, 1.425, -7.354], [-4.574, -0.905, -8.381], [-6.849, -1.253, -6.595]], "species": ["Mg", "Ta", "Mg", "Ir"], "fractional_positions": [[0.492, 0.492, 0.492], [0.250, 0.250, 0.250], [0.008, 0.008, 0.008], [0.750, 0.750, 0.750]], "magmom_total_mub_per_fu": 0.2, "dos_ef_per_ev_cell": 4.69, "e_above_lowest_polymorph_kj_per_mol_atoms": 32.70, "e_form_mev_per_atom": 74}


Record 2
{"formula": "MgTa2Ir2", "functional": "PBE-GGA", "state": "optimized geometry", "cell": [[7.913, 0.000, 0.000], [0.000, 7.913, 0.000], [0.000, 0.000, 2.851]], "species": ["Ta", "Ir", "Mg", "Ir", "Ta", "Ta", "Mg", "Ir", "Ta", "Ir"], "fractional_positions": [[0.853, 0.647, 0.000], [0.356, 0.144, 0.500], [0.500, 0.500, 0.000], [0.856, 0.356, 0.500], [0.147, 0.353, 0.000], [0.353, 0.853, 0.000], [0.000, 0.000, 0.000], [0.144, 0.644, 0.500], [0.647, 0.147, 0.000], [0.644, 0.856, 0.500]], "magmom_total_mub_per_fu": 0.0, "dos_ef_per_ev_cell": 6.41, "e_above_lowest_polymorph_kj_per_mol_atoms": 13.14, "e_form_mev_per_atom": -306}


Record 3
{"formula": "Mg3TaIr", "functional": "PBE-GGA", "state": "optimized geometry", "cell": [[5.151, 0.000, 0.000], [0.000, 5.151, 0.000], [0.000, 0.000, 5.151]], "species": ["Mg", "Mg", "Mg", "Ta", "Ir"], "fractional_positions": [[0.000, 0.000, 0.500], [0.500, 0.000, 0.000], [0.000, 0.500, 0.000], [0.000, 0.000, 0.000], [0.500, 0.500, 0.500]], "magmom_total_mub_per_fu": 2.0, "dos_ef_per_ev_cell": 4.14, "e_above_lowest_polymorph_kj_per_mol_atoms": 114.52, "e_form_mev_per_atom": 2051}


Record 4
{"formula": "Mg2TaIr", "functional": "PBE-GGA", "state": "optimized geometry", "cell": [[5.491, 0.011, 0.078], [4.624, 2.961, 0.078], [1.659, 0.487, 4.309]], "species": ["Mg", "Ta", "Mg", "Ir"], "fractional_positions": [[0.521, 0.521, 0.481], [0.750, 0.750, 0.750], [0.979, 0.979, 0.019], [0.250, 0.250, 0.250]], "magmom_total_mub_per_fu": 0.0, "dos_ef_per_ev_cell": 2.36, "e_above_lowest_polymorph_kj_per_mol_atoms": 17.14, "e_form_mev_per_atom": -88}


Record 5
{"formula": "Mg2TaIr", "functional": "PBE-GGA", "state": "optimized geometry", "cell": [[3.164, 0.000, 0.000], [0.000, 3.164, 0.000], [0.000, 0.000, 7.222]], "species": ["Ta", "Mg", "Ir", "Mg"], "fractional_positions": [[0.000, 0.000, 0.532], [0.000, 0.000, 0.971], [0.500, 0.500, 0.736], [0.500, 0.500, 0.262]], "magmom_total_mub_per_fu": 0.0, "dos_ef_per_ev_cell": 0.30, "e_above_lowest_polymorph_kj_per_mol_atoms": 3.84, "e_form_mev_per_atom": -226}


Record 6
{"formula": "Mg2TaIr", "functional": "PBE-GGA", "state": "optimized geometry", "cell": [[-4.058, 2.091, -0.673], [0.403, -0.135, -2.848], [-2.180, -4.654, -1.318]], "species": ["Ir", "Ta", "Mg", "Mg"], "fractional_positions": [[0.500, 0.750, 0.750], [0.500, 0.250, 0.250], [0.000, 0.932, 0.986], [0.000, 0.568, 0.514]], "magmom_total_mub_per_fu": 0.0, "dos_ef_per_ev_cell": 2.27, "e_above_lowest_polymorph_kj_per_mol_atoms": 22.14, "e_form_mev_per_atom": -36}


Repeat the fifth record exactly.
{"formula": "Mg2TaIr", "functional": "PBE-GGA", "state": "optimized geometry", "cell": [[3.164, 0.000, 0.000], [0.000, 3.164, 0.000], [0.000, 0.000, 7.222]], "species": ["Ta", "Mg", "Ir", "Mg"], "fractional_positions": [[0.000, 0.000, 0.532], [0.000, 0.000, 0.971], [0.500, 0.500, 0.736], [0.500, 0.500, 0.262]], "magmom_total_mub_per_fu": 0.0, "dos_ef_per_ev_cell": 0.30, "e_above_lowest_polymorph_kj_per_mol_atoms": 3.84, "e_form_mev_per_atom": -226}